Density functional theory data (GGA-PBEsol) for an optimized crystal structure of BiOF.

Unit cell a=3.906 b=8.152 c=12.198 alpha=109.44 beta=90.00 gamma=90.00
Positions (direct):
Bi 0.750 0.922 0.124
Bi 0.250 0.826 0.403
Bi 0.750 0.675 0.657
Bi 0.750 0.450 0.124
Bi 0.250 0.550 0.876
Bi 0.250 0.325 0.343
Bi 0.750 0.174 0.597
Bi 0.250 0.078 0.876
O 0.750 0.880 0.505
O 0.750 0.646 0.012
O 0.250 0.752 0.760
O 0.250 0.507 0.246
O 0.750 0.493 0.754
O 0.750 0.248 0.240
O 0.250 0.354 0.988
O 0.250 0.120 0.495
F 0.250 0.900 0.010
F 0.250 0.984 0.243
F 0.750 0.763 0.250
F 0.250 0.615 0.496
F 0.750 0.385 0.504
F 0.250 0.237 0.750
F 0.750 0.016 0.757
F 0.750 0.100 0.990

Summary:
V   366.3 Å³ per cell
SG   No. 11
DFT total energy   -16.8 eV/f.u.
ΔE_f (raw)   -171.4 kJ/mol of atoms
Size of the total moment   0.00 μB/f.u.